(1)
This record from Alexandria via LeMat-Bulk describes a relaxed structure of TaV2Fe3. The functional is PBE.

Cell and atoms, written as extended XYZ:
```
6
Lattice="2.831 0.000 0.000 0.000 2.831 0.000 0.000 0.000 9.398" Properties=species:S:1:pos:R:3 pbc="T T T"
Ta 1.416 1.416 4.699
Fe 0.000 0.000 0.000
Fe 0.000 0.000 2.781
V 1.416 1.416 7.907
V 1.416 1.416 1.491
Fe 0.000 0.000 6.617
```

Values from the calculation:
D(E_F) = 0.813 states/eV per atom
Formation enthalpy at 0 K = -0.8 eV per formula unit
Space group = No. 123
E = -9.388 eV per atom
Total magnetic moment = 0.1 μB per formula unit

---

(2)
This record from Alexandria via LeMat-Bulk describes a relaxed structure of TaV2Fe2. The functional is PBE.

Cell and atoms, written as extended XYZ:
```
10
Lattice="-4.205 2.692 4.741 2.214 -4.629 4.592 2.023 1.757 0.796" Properties=species:S:1:pos:R:3 pbc="T T T"
Ta -0.996 -0.968 4.666
Fe -2.227 -0.616 7.017
Fe 0.382 -3.020 5.695
Fe 0.235 -1.320 2.316
Ta 0.000 0.000 0.000
V -0.077 1.068 2.745
V 1.803 -1.742 4.169
V -1.772 1.563 5.960
V 0.108 -1.247 7.384
Fe -2.373 1.083 3.638
```

Values from the calculation:
D(E_F) = 1.566 states/eV per atom
Formation enthalpy at 0 K = 0.2 eV per formula unit
Space group = No. 127
Offset from the most stable computed form = 0.0 meV/atom
E = -9.367 eV per atom
Total magnetic moment = 0.0 μB per formula unit

---

(3)
This record from Alexandria via LeMat-Bulk describes a relaxed structure of TaV3Fe. The functional is PBE.

Cell and atoms, written as extended XYZ:
```
5
Lattice="4.283 0.000 0.000 0.000 4.283 0.000 0.000 0.000 4.283" Properties=species:S:1:pos:R:3 pbc="T T T"
V 0.000 0.000 2.141
V 0.000 2.141 0.000
V 2.141 0.000 0.000
Fe 0.000 0.000 0.000
Ta 2.141 2.141 2.141
```

Values from the calculation:
D(E_F) = 1.578 states/eV per atom
Formation enthalpy at 0 K = 3.5 eV per formula unit
Space group = No. 221
Offset from the most stable computed form = 550.1 meV/atom
E = -8.835 eV per atom
Total magnetic moment = 1.0 μB per formula unit

---

(4)
This record from Alexandria via LeMat-Bulk describes a relaxed structure of TaV2Fe2. The functional is PBE.

Cell and atoms, written as extended XYZ:
```
10
Lattice="6.966 0.000 0.000 0.000 6.966 0.000 0.000 0.000 2.709" Properties=species:S:1:pos:R:3 pbc="T T T"
V 1.040 2.444 0.000
Fe 5.932 2.449 1.355
Fe 4.517 5.932 1.355
Fe 2.449 1.034 1.355
V 5.927 4.523 0.000
Ta 3.483 3.483 0.000
V 2.444 5.927 0.000
Fe 1.034 4.517 1.355
V 4.523 1.040 0.000
Ta 0.000 0.000 0.000
```

Values from the calculation:
D(E_F) = 1.136 states/eV per atom
Formation enthalpy at 0 K = 0.3 eV per formula unit
Space group = No. 127
Offset from the most stable computed form = 23.2 meV/atom
E = -9.344 eV per atom
Total magnetic moment = 0.0 μB per formula unit

---

(5)
This record from Alexandria via LeMat-Bulk describes a relaxed structure of TaFeW2. The functional is PBE.

Cell and atoms, written as extended XYZ:
```
4
Lattice="2.732 -0.001 0.000 -0.844 2.598 0.000 0.000 0.000 8.751" Properties=species:S:1:pos:R:3 pbc="T T T"
Ta 0.944 1.299 6.563
W 0.000 0.000 0.158
Fe 0.944 1.299 2.188
W 0.000 0.000 4.218
```

Values from the calculation:
D(E_F) = 0.689 states/eV per atom
Formation enthalpy at 0 K = 0.2 eV per formula unit
Space group = No. 65
Offset from the most stable computed form = 40.1 meV/atom
E = -11.504 eV per atom
Total magnetic moment = 1.9 μB per formula unit

---

(6)
This record from Alexandria via LeMat-Bulk describes a relaxed structure of TaFeW2. The functional is PBE.

Cell and atoms, written as extended XYZ:
```
4
Lattice="4.441 0.000 0.000 2.220 3.846 0.000 2.220 1.282 3.626" Properties=species:S:1:pos:R:3 pbc="T T T"
W 0.000 0.000 0.000
W 2.220 1.282 0.906
Ta 6.661 3.846 2.719
Fe 4.441 2.564 1.813
```

Values from the calculation:
D(E_F) = 0.861 states/eV per atom
Formation enthalpy at 0 K = 0.2 eV per formula unit
Space group = No. 216
Offset from the most stable computed form = 28.9 meV/atom
E = -11.516 eV per atom
Total magnetic moment = 1.2 μB per formula unit